a) The following is a DFT calculation (PBE) of a geometry-optimized CuPtI2N structure.

The value obtained for the density of states at the Fermi level is 2.9 states/eV/f.u. The spin magnetization is 0.00 μB/f.u.

It has space group P4/mmm (No. 123), with a = 5.709 Å, b = 5.709 Å, c = 3.726 Å, α = 90.00°, β = 90.00° and γ = 90.00°. Symmetry generates all atoms from Cu at (0.000, 0.000, 0.000), Pt at (0.500, 0.500, 0.500), I at (0.000, 0.500, 0.500) and N at (0.500, 0.500, 0.000).



b) The following is a DFT calculation (PBE) of a geometry-optimized CuPtI2N structure.

The value obtained for the density of states at the Fermi level is 4.6 states/eV/f.u. The spin magnetization is 2.07 μB/f.u.

It has space group P4/mmm (No. 123), with a = 5.466 Å, b = 5.466 Å, c = 3.584 Å, α = 90.00°, β = 90.00° and γ = 90.00°. Symmetry generates all atoms from Cu at (0.000, 0.000, 0.000), Pt at (0.500, 0.500, 0.500), I at (0.000, 0.500, 0.000) and N at (0.000, 0.000, 0.500).



Most stable pick: a). Distance to second place: 0.408 eV/atom.